1.
Here is a geometry-optimized Hf2IrF structure from Alexandria via LeMat-Bulk. Energies are from PBE.

The structure belongs to space group Fm-3m (No. 225); the cell edges are 6.468, 6.468 and 6.468 Å and the angles 90.00°, 90.00° and 90.00°. The distinct sites, in fractional coordinates, are Hf at (0.250, 0.250, 0.250), Ir at (0.000, 0.000, 0.000) and F at (0.000, 0.000, 0.500).

The calculation puts the total magnetization at 0.000 μB per atom. Its formation energy from raw total energies is -4.3 eV/f.u. The energy above the most stable polymorph in this dataset is 0 meV/atom.

2.
Here is a geometry-optimized LiHfIr2F structure from Alexandria via LeMat-Bulk. Energies are from PBE.

The structure belongs to space group P4/mmm (No. 123); the cell edges are 4.650, 4.650 and 3.325 Å and the angles 90.00°, 90.00° and 90.00°. The distinct sites, in fractional coordinates, are Li at (0.000, 0.000, 0.000), Hf at (0.500, 0.500, 0.500), Ir at (0.000, 0.500, 0.000) and F at (0.000, 0.000, 0.500).

The calculation puts the total magnetization at 0.000 μB per atom. Its formation energy from raw total energies is -1.1 eV/f.u.

3.
Here is a geometry-optimized HfIrNF2 structure from Alexandria via LeMat-Bulk. Energies are from PBE.

The structure belongs to space group P4/mmm (No. 123); the cell edges are 4.033, 4.033 and 4.350 Å and the angles 90.00°, 90.00° and 90.00°. The distinct sites, in fractional coordinates, are Hf at (0.000, 0.000, 0.000), Ir at (0.500, 0.500, 0.500), N at (0.000, 0.000, 0.500) and F at (0.000, 0.500, 0.000).

The calculation puts the total magnetization at 0.310 μB per atom. Its formation energy from raw total energies is -4.1 eV/f.u. The energy above the most stable polymorph in this dataset is 0 meV/atom.

4.
Here is a geometry-optimized HfIrN2F structure from Alexandria via LeMat-Bulk. Energies are from PBE.

The structure belongs to space group P4/mmm (No. 123); the cell edges are 4.229, 4.229 and 3.887 Å and the angles 90.00°, 90.00° and 90.00°. The distinct sites, in fractional coordinates, are Hf at (0.000, 0.000, 0.000), Ir at (0.500, 0.500, 0.500), N at (0.000, 0.500, 0.000) and F at (0.000, 0.000, 0.500).

The calculation puts the total magnetization at 0.143 μB per atom. Its formation energy from raw total energies is 0.7 eV/f.u. The energy above the most stable polymorph in this dataset is 0 meV/atom.

5.
Here is a geometry-optimized HfIrNF2 structure from Alexandria via LeMat-Bulk. Energies are from PBE.

The structure belongs to space group P4/mmm (No. 123); the cell edges are 4.441, 4.441 and 3.701 Å and the angles 90.00°, 90.00° and 90.00°. The distinct sites, in fractional coordinates, are Hf at (0.000, 0.000, 0.000), Ir at (0.500, 0.500, 0.500), N at (0.500, 0.500, 0.000) and F at (0.000, 0.500, 0.500).

The calculation puts the total magnetization at 0.000 μB per atom. Its formation energy from raw total energies is -0.2 eV/f.u. The energy above the most stable polymorph in this dataset is 780 meV/atom.

6.
Here is a geometry-optimized HfIrN2F structure from Alexandria via LeMat-Bulk. Energies are from PBE.

The structure belongs to space group P4/mmm (No. 123); the cell edges are 3.926, 3.926 and 4.069 Å and the angles 90.00°, 90.00° and 90.00°. The distinct sites, in fractional coordinates, are Hf at (0.000, 0.000, 0.000), Ir at (0.500, 0.500, 0.500), N at (0.000, 0.500, 0.500) and F at (0.500, 0.500, 0.000).

The calculation puts the total magnetization at 0.000 μB per atom. Its formation energy from raw total energies is 1.5 eV/f.u. The energy above the most stable polymorph in this dataset is 166 meV/atom.

7.
Here is a geometry-optimized HfIrOF2 structure from Alexandria via LeMat-Bulk. Energies are from PBE.

The structure belongs to space group P4/mmm (No. 123); the cell edges are 4.174, 4.174 and 4.089 Å and the angles 90.00°, 90.00° and 90.00°. The distinct sites, in fractional coordinates, are Hf at (0.000, 0.000, 0.000), Ir at (0.500, 0.500, 0.500), O at (0.000, 0.000, 0.500) and F at (0.000, 0.500, 0.000).

The calculation puts the total magnetization at 0.287 μB per atom. Its formation energy from raw total energies is -7.2 eV/f.u. The energy above the most stable polymorph in this dataset is 0 meV/atom.

8.
Here is a geometry-optimized HfIrOF2 structure from Alexandria via LeMat-Bulk. Energies are from PBE.

The structure belongs to space group P4/mmm (No. 123); the cell edges are 4.579, 4.579 and 3.671 Å and the angles 90.00°, 90.00° and 90.00°. The distinct sites, in fractional coordinates, are Hf at (0.000, 0.000, 0.000), Ir at (0.500, 0.500, 0.500), O at (0.500, 0.500, 0.000) and F at (0.000, 0.500, 0.500).

The calculation puts the total magnetization at 0.130 μB per atom. Its formation energy from raw total energies is -1.5 eV/f.u. The energy above the most stable polymorph in this dataset is 1139 meV/atom.

9.
Here is a geometry-optimized HfPIr2F structure from Alexandria via LeMat-Bulk. Energies are from PBE.

The structure belongs to space group P4/mmm (No. 123); the cell edges are 4.481, 4.481 and 4.030 Å and the angles 90.00°, 90.00° and 90.00°. The distinct sites, in fractional coordinates, are Hf at (0.000, 0.000, 0.000), P at (0.500, 0.500, 0.000), Ir at (0.000, 0.500, 0.500) and F at (0.000, 0.000, 0.500).

The calculation puts the total magnetization at 0.000 μB per atom. Its formation energy from raw total energies is 2.0 eV/f.u.

10.
Here is a geometry-optimized RbHf2IrF structure from Alexandria via LeMat-Bulk. Energies are from PBE.

The structure belongs to space group P4/mmm (No. 123); the cell edges are 4.468, 4.468 and 5.328 Å and the angles 90.00°, 90.00° and 90.00°. The distinct sites, in fractional coordinates, are Rb at (0.000, 0.000, 0.000), Hf at (0.000, 0.500, 0.500), Ir at (0.500, 0.500, 0.000) and F at (0.500, 0.500, 0.500).

The calculation puts the total magnetization at 0.000 μB per atom. Its formation energy from raw total energies is 2.5 eV/f.u.

11.
Here is a geometry-optimized Rb2HfIrF6 structure from Alexandria via LeMat-Bulk. Energies are from PBE.

The structure belongs to space group I4/mmm (No. 139); the cell edges are 7.356, 7.356 and 8.180 Å and the angles 90.00°, 90.00° and 90.00°. The distinct sites, in fractional coordinates, are Rb at (0.000, 0.500, 0.250), Hf at (0.000, 0.000, 0.000), Ir at (0.000, 0.000, 0.500), F at (0.000, 0.000, 0.247) and F at (0.192, 0.192, 0.000).

The calculation puts the total magnetization at 0.100 μB per atom. Its formation energy from raw total energies is -24.3 eV/f.u.

12.
Here is a geometry-optimized Hf2ScIrF structure from Alexandria via LeMat-Bulk. Energies are from PBE.

The structure belongs to space group P4/mmm (No. 123); the cell edges are 5.147, 5.147 and 4.535 Å and the angles 90.00°, 90.00° and 90.00°. The distinct sites, in fractional coordinates, are Hf at (0.000, 0.500, 0.000), Sc at (0.000, 0.000, 0.000), Ir at (0.000, 0.000, 0.500) and F at (0.500, 0.500, 0.500).

The calculation puts the total magnetization at 0.000 μB per atom. Its formation energy from raw total energies is 5.0 eV/f.u.

Q: Look up the total magnetization of the third one.
A: 0.310 μB per atom

Q: Which value of formation energy from raw total energies does entry 9 give?
A: 2.0 eV/f.u.

Q: Which value of formation energy from raw total energies does entry 8 give?
A: -1.5 eV/f.u.

Q: Which of these has the lowest formation energy from raw total energies?
A: Rb2HfIrF6